Entry 1:
Density functional theory data (GGA-PBE) for a relaxed structure of La2ErIn.

```
La2ErIn
1.0
3.5588 0.0000 0.0000
-1.7794 3.0820 0.0000
0.0000 0.0000 37.5900
La Er In
6 3 3
Direct
0.0000 0.0000 0.0892
0.0000 0.0000 0.9108
0.3333 0.6667 0.5775
0.3333 0.6667 0.7559
0.6667 0.3333 0.2441
0.6667 0.3333 0.4225
0.0000 0.0000 0.5000
0.3333 0.6667 0.1667
0.6667 0.3333 0.8333
0.0000 0.0000 0.0000
0.3333 0.6667 0.6667
0.6667 0.3333 0.3333
```

Properties
Its relative energy among the computed polymorphs is 0.366 eV per atom. The value obtained for the formation energy is 0.095 eV per atom.

---

Entry 2:
Density functional theory data (GGA-PBE) for a relaxed structure of Ac6Co3I.

```
Ac6Co3I
1.0
11.9596 0.0000 0.0000
0.0000 4.1982 0.0000
-5.5616 0.0000 13.7472
Ac Co I
12 6 2
Direct
0.0281 0.2500 0.2772
0.1368 0.2500 0.0741
0.1587 0.2500 0.5709
0.2569 0.2500 0.8555
0.3531 0.7500 0.4218
0.4461 0.7500 0.7087
0.5539 0.2500 0.2913
0.6469 0.2500 0.5782
0.7431 0.7500 0.1445
0.8413 0.7500 0.4291
0.8632 0.7500 0.9259
0.9719 0.7500 0.7228
0.0021 0.2500 0.8668
0.2067 0.7500 0.7132
0.3960 0.2500 0.5634
0.6040 0.7500 0.4366
0.7933 0.2500 0.2868
0.9979 0.7500 0.1332
0.3973 0.7500 0.0755
0.6027 0.2500 0.9245
```

Properties
The formation energy from raw total energies comes out at -0.2086 eV/atom.

---

Entry 3:
Density functional theory data (GGA-PBE) for a relaxed structure of YHoMnTc.

```
YHoMnTc
1.0
6.9576 0.0000 0.0000
0.0000 6.9576 0.0000
0.0000 0.0000 6.9576
Y Ho Mn Tc
4 4 4 4
Direct
0.0000 0.0000 0.0000
0.0000 0.5000 0.5000
0.5000 0.0000 0.5000
0.5000 0.5000 0.0000
0.0000 0.0000 0.5000
0.0000 0.5000 0.0000
0.5000 0.0000 0.0000
0.5000 0.5000 0.5000
0.2500 0.2500 0.2500
0.2500 0.7500 0.7500
0.7500 0.2500 0.7500
0.7500 0.7500 0.2500
0.2500 0.2500 0.7500
0.2500 0.7500 0.2500
0.7500 0.2500 0.2500
0.7500 0.7500 0.7500
```

Properties
The value obtained for the formation energy is 0.134 eV per atom.

---

Entry 4:
Density functional theory data (GGA-PBE) for a relaxed structure of YMnCl.

```
YMnCl
1.0
3.3276 0.0000 0.0000
0.0000 3.3276 0.0000
0.0000 0.0000 13.5773
Y Mn Cl
2 2 2
Direct
0.0000 0.0000 0.0000
0.5000 0.5000 0.5000
0.0000 0.0000 0.6455
0.5000 0.5000 0.1455
0.0000 0.0000 0.3709
0.5000 0.5000 0.8709
```

Properties
The formation energy from raw total energies comes out at -0.3895 eV/atom.

---

Entry 5:
Density functional theory data (GGA-PBE) for a relaxed structure of Cs2BeNCl6.

```
Cs2BeNCl6
1.0
-3.9238 3.9238 4.8101
3.9238 -3.9238 4.8101
3.9238 3.9238 -4.8101
Cs Be N Cl
2 1 1 6
Direct
0.2500 0.7500 0.5000
0.7500 0.2500 0.5000
0.0000 0.0000 0.0000
0.5000 0.5000 0.0000
0.1946 0.1946 0.3893
0.1946 0.8054 0.0000
0.3130 0.3130 0.0000
0.6870 0.6870 0.0000
0.8054 0.1946 0.0000
0.8054 0.8054 0.6107
```

Properties
The formation energy from raw total energies comes out at -0.6817 eV/atom.

---

Entry 6:
Density functional theory data (GGA-PBE) for a relaxed structure of Sm2MgCu9.

```
Sm2MgCu9
1.0
2.5585 1.4772 8.3865
-2.5585 1.4772 8.3865
0.0000 -2.9543 8.3865
Sm Mg Cu
2 1 9
Direct
0.1361 0.1361 0.1361
0.8639 0.8639 0.8639
0.0000 0.0000 0.0000
0.0799 0.5800 0.5800
0.3327 0.3327 0.3327
0.4200 0.4200 0.9201
0.4200 0.9201 0.4200
0.5000 0.5000 0.5000
0.5800 0.0799 0.5800
0.5800 0.5800 0.0799
0.6673 0.6673 0.6673
0.9201 0.4200 0.4200
```

Properties
The value obtained for the formation energy is -0.106 eV per atom.